1.
DFT (PBE) results for a relaxed structure of TiNbPb2.

Output
- Fermi-level density of states: 5.35 states/eV/f.u.
- Total moment: 0.00 μB per cell
- Energy: -5.797 eV per atom
- Energy above the most stable polymorph in this dataset: 0.73 eV/f.u.
- Calculated formation energy: 0.5481 eV/atom
- Space-group type: I-42d (122)

a = 7.746 Å, b = 7.746 Å, c = 6.294 Å
α = 52.02°, β = 52.02°, γ = 90.00°
Element x y z (fractional)
Pb 0.619 0.125 0.250
Pb 0.131 0.625 0.250
Pb 0.375 0.381 0.750
Pb 0.875 0.869 0.750
Nb 0.000 0.000 0.000
Nb 0.750 0.250 0.500
Ti 0.500 0.500 0.000
Ti 0.250 0.750 0.500


2.
DFT (PBE) results for a relaxed structure of Ac5CdTe8.

Output
- Fermi-level density of states: 4.44 states/eV/f.u.
- Total moment: 0.00 μB per cell
- Uncorrected formation energy: -1.42 eV per atom
- Energy: -4.749 eV per atom
- Space-group type: I-4 (82)

a = 8.649 Å, b = 8.649 Å, c = 8.649 Å
α = 109.76°, β = 108.89°, γ = 109.76°
Element x y z (fractional)
Ac 0.010 0.378 0.132
Ac 0.868 0.879 0.247
Ac 0.753 0.622 0.632
Ac 0.500 0.000 0.500
Ac 0.368 0.121 0.990
Cd 0.250 0.500 0.750
Te 0.136 0.752 0.029
Te 0.971 0.106 0.723
Te 0.761 0.242 0.360
Te 0.640 0.401 0.882
Te 0.481 0.599 0.239
Te 0.617 0.894 0.864
Te 0.277 0.248 0.383
Te 0.118 0.758 0.519